{
  "formula": "SrLi2Y2Pb2",
  "functional": "GGA-PBE",
  "state": "relaxed",
  "lattice_angstrom": [[2.466, 1.424, 9.497], [-2.466, 1.424, 9.497], [0.000, -2.847, 9.497]],
  "species": ["Sr", "Li", "Li", "Y", "Y", "Pb", "Pb"],
  "fractional_positions": [[0.000, 0.000, 0.000], [0.420, 0.420, 0.420], [0.580, 0.580, 0.580], [0.132, 0.132, 0.132], [0.868, 0.868, 0.868], [0.254, 0.254, 0.254], [0.746, 0.746, 0.746]],
  "ef_ev_per_atom": -0.38,
  "e_tot_ev_per_atom": -4.074
}

---

{
  "formula": "SrLiZnPb2",
  "functional": "GGA-PBE",
  "state": "relaxed",
  "lattice_angstrom": [[-2.342, 2.342, 6.199], [2.342, -2.342, 6.199], [2.342, 2.342, -6.199]],
  "species": ["Sr", "Li", "Zn", "Pb", "Pb"],
  "fractional_positions": [[0.000, 0.000, 0.000], [0.250, 0.750, 0.500], [0.750, 0.250, 0.500], [0.377, 0.377, 0.000], [0.623, 0.623, 0.000]],
  "ef_ev_per_atom": -0.31,
  "e_tot_ev_per_atom": -2.770
}

---

{
  "formula": "LiTaPb3",
  "functional": "GGA-PBE",
  "state": "relaxed",
  "lattice_angstrom": [[5.024, 0.000, 0.000], [0.000, 5.024, 0.000], [0.000, 0.000, 5.024]],
  "species": ["Li", "Ta", "Pb", "Pb", "Pb"],
  "fractional_positions": [[0.000, 0.000, 0.000], [0.500, 0.500, 0.500], [0.000, 0.000, 0.500], [0.000, 0.500, 0.000], [0.500, 0.000, 0.000]],
  "e_above_lowest_polymorph_ev_per_atom": 0.561,
  "ef_ev_per_atom": 0.98,
  "e_tot_ev_per_atom": -4.002
}

---

{
  "formula": "LiTaPb3",
  "functional": "GGA-PBE",
  "state": "relaxed",
  "lattice_angstrom": [[5.534, 0.000, 0.000], [0.000, 5.534, 0.000], [0.000, 0.000, 5.534]],
  "species": ["Li", "Ta", "Pb", "Pb", "Pb"],
  "fractional_positions": [[0.000, 0.000, 0.000], [0.500, 0.500, 0.500], [0.000, 0.500, 0.500], [0.500, 0.000, 0.500], [0.500, 0.500, 0.000]],
  "e_above_lowest_polymorph_ev_per_atom": 0.000,
  "ef_ev_per_atom": 0.41,
  "e_tot_ev_per_atom": -4.564
}

---

{
  "formula": "Li3TaPb",
  "functional": "GGA-PBE",
  "state": "relaxed",
  "lattice_angstrom": [[4.878, 0.000, 0.000], [0.000, 4.878, 0.000], [0.000, 0.000, 4.878]],
  "species": ["Li", "Li", "Li", "Ta", "Pb"],
  "fractional_positions": [[0.000, 0.000, 0.500], [0.000, 0.500, 0.000], [0.500, 0.000, 0.000], [0.500, 0.500, 0.500], [0.000, 0.000, 0.000]],
  "e_above_lowest_polymorph_ev_per_atom": 0.000,
  "ef_ev_per_atom": 1.07,
  "e_tot_ev_per_atom": -3.190
}

---

{
  "formula": "LiTa2TcPb",
  "functional": "GGA-PBE",
  "state": "relaxed",
  "lattice_angstrom": [[4.805, 0.000, 0.000], [0.000, 4.805, 0.000], [0.000, 0.000, 4.798]],
  "species": ["Li", "Ta", "Ta", "Tc", "Pb"],
  "fractional_positions": [[0.000, 0.000, 0.000], [0.000, 0.500, 0.500], [0.500, 0.000, 0.500], [0.000, 0.000, 0.500], [0.500, 0.500, 0.000]],
  "ef_ev_per_atom": 0.96,
  "e_tot_ev_per_atom": -6.977
}

---

{
  "formula": "LiTaTePb2",
  "functional": "GGA-PBE",
  "state": "relaxed",
  "lattice_angstrom": [[6.049, 0.000, 0.000], [0.000, 6.049, 0.000], [0.000, 0.000, 5.174]],
  "species": ["Li", "Ta", "Te", "Pb", "Pb"],
  "fractional_positions": [[0.000, 0.000, 0.000], [0.500, 0.500, 0.000], [0.500, 0.500, 0.500], [0.000, 0.500, 0.500], [0.500, 0.000, 0.500]],
  "raw_formation_energy_ev_per_fu": 4.92,
  "e_tot_ev_per_atom": -3.882
}

---

{
  "formula": "Li2TbPb9",
  "functional": "GGA-PBE",
  "state": "relaxed",
  "lattice_angstrom": [[4.803, 0.000, 0.000], [0.000, 4.803, 0.000], [0.000, 0.000, 14.899]],
  "species": ["Li", "Li", "Tb", "Pb", "Pb", "Pb", "Pb", "Pb", "Pb", "Pb", "Pb", "Pb"],
  "fractional_positions": [[0.000, 0.000, 0.167], [0.000, 0.000, 0.833], [0.000, 0.000, 0.500], [0.000, 0.500, 0.000], [0.000, 0.500, 0.329], [0.000, 0.500, 0.671], [0.500, 0.000, 0.000], [0.500, 0.000, 0.329], [0.500, 0.000, 0.671], [0.500, 0.500, 0.163], [0.500, 0.500, 0.500], [0.500, 0.500, 0.837]],
  "ef_ev_per_atom": -0.18,
  "e_tot_ev_per_atom": -3.664
}

---

{
  "formula": "Li2TbPb3",
  "functional": "GGA-PBE",
  "state": "relaxed",
  "lattice_angstrom": [[3.611, 0.000, 0.000], [0.000, 3.611, 0.000], [0.000, 0.000, 11.357]],
  "species": ["Li", "Li", "Tb", "Pb", "Pb", "Pb"],
  "fractional_positions": [[0.000, 0.000, 0.155], [0.000, 0.000, 0.845], [0.000, 0.000, 0.500], [0.500, 0.500, 0.000], [0.500, 0.500, 0.308], [0.500, 0.500, 0.692]],
  "ef_ev_per_atom": -0.33,
  "e_tot_ev_per_atom": -3.593
}

---

{
  "formula": "Li3TbPb3",
  "functional": "GGA-PBE",
  "state": "relaxed",
  "lattice_angstrom": [[7.249, 0.000, 0.000], [0.000, 7.249, 0.000], [0.000, 0.000, 7.249]],
  "species": ["Li", "Li", "Li", "Li", "Li", "Li", "Tb", "Tb", "Pb", "Pb", "Pb", "Pb", "Pb", "Pb"],
  "fractional_positions": [[0.000, 0.250, 0.500], [0.000, 0.750, 0.500], [0.250, 0.500, 0.000], [0.500, 0.000, 0.250], [0.500, 0.000, 0.750], [0.750, 0.500, 0.000], [0.000, 0.000, 0.000], [0.500, 0.500, 0.500], [0.000, 0.500, 0.250], [0.000, 0.500, 0.750], [0.250, 0.000, 0.500], [0.500, 0.250, 0.000], [0.500, 0.750, 0.000], [0.750, 0.000, 0.500]],
  "ef_ev_per_atom": 0.23,
  "e_tot_ev_per_atom": -2.838
}

---

{
  "formula": "LiTb2Pb6",
  "functional": "GGA-PBE",
  "state": "relaxed",
  "lattice_angstrom": [[3.579, -7.816, 0.000], [3.579, 7.816, 0.000], [0.000, 0.000, 4.726]],
  "species": ["Li", "Tb", "Tb", "Pb", "Pb", "Pb", "Pb", "Pb", "Pb"],
  "fractional_positions": [[0.000, 0.000, 0.000], [0.228, 0.772, 0.500], [0.772, 0.228, 0.500], [0.129, 0.427, 0.000], [0.270, 0.270, 0.500], [0.427, 0.129, 0.000], [0.573, 0.871, 0.000], [0.730, 0.730, 0.500], [0.871, 0.573, 0.000]],
  "ef_ev_per_atom": -0.21,
  "e_tot_ev_per_atom": -3.921
}

---

{
  "formula": "Li2TbPb",
  "functional": "GGA-PBE",
  "state": "relaxed",
  "lattice_angstrom": [[4.451, 0.000, 0.000], [0.000, 4.451, 0.000], [0.000, 0.000, 4.907]],
  "species": ["Li", "Li", "Tb", "Pb"],
  "fractional_positions": [[0.000, 0.500, 0.000], [0.500, 0.000, 0.000], [0.000, 0.000, 0.500], [0.500, 0.500, 0.500]],
  "ef_ev_per_atom": -0.26,
  "e_tot_ev_per_atom": -3.299
}